# ThScTcGe2 (PBE, optimized geometry)
# E_tot = -7.311 eV per atom
# DOS at the Fermi energy = 3.7 states/eV/f.u.
# ΔH_f (0 K) = -0.641 eV/atom
data_ThScTcGe2
_space_group_name_H-M_alt 'P 1'
_space_group_IT_number 1
_space_group_name_Hall 'P 1'
_cell_length_a 6.570
_cell_length_b 6.570
_cell_length_c 6.570
_cell_angle_alpha 143.27
_cell_angle_beta 143.27
_cell_angle_gamma 52.92
loop_
_atom_site_label
_atom_site_fract_x
_atom_site_fract_y
_atom_site_fract_z
Th1 0.000 0.000 0.000
Sc1 0.250 0.750 0.500
Tc1 0.750 0.250 0.500
Ge1 0.392 0.392 0.000
Ge2 0.608 0.608 0.000

=====

# ScTiTcGe2 (PBE, optimized geometry)
# E_tot = -6.350 eV per atom
# DOS at the Fermi energy = 4.6 states/eV/f.u.
# ΔH_f (0 K) = 0.415 eV/atom
data_ScTiTcGe2
_space_group_name_H-M_alt 'P 1'
_space_group_IT_number 1
_space_group_name_Hall 'P 1'
_cell_length_a 4.812
_cell_length_b 4.812
_cell_length_c 4.504
_cell_angle_alpha 90.00
_cell_angle_beta 90.00
_cell_angle_gamma 90.00
loop_
_atom_site_label
_atom_site_fract_x
_atom_site_fract_y
_atom_site_fract_z
Sc1 0.000 0.000 0.000
Ti1 0.500 0.500 0.500
Tc1 0.500 0.500 0.000
Ge1 0.000 0.500 0.500
Ge2 0.500 0.000 0.500

=====

# ScVTcGe (PBE, optimized geometry)
# E_tot = -7.893 eV per atom
# DOS at the Fermi energy = 2.5 states/eV/f.u.
# ΔH_f (0 K) = -0.285 eV/atom
data_ScVTcGe
_space_group_name_H-M_alt 'P 1'
_space_group_IT_number 1
_space_group_name_Hall 'P 1'
_cell_length_a 4.428
_cell_length_b 4.428
_cell_length_c 4.428
_cell_angle_alpha 60.00
_cell_angle_beta 60.00
_cell_angle_gamma 60.00
loop_
_atom_site_label
_atom_site_fract_x
_atom_site_fract_y
_atom_site_fract_z
Sc1 0.000 0.000 0.000
V1 0.250 0.250 0.250
Tc1 0.500 0.500 0.500
Ge1 0.750 0.750 0.750

=====

# Sc2GeTe (PBE, optimized geometry)
# Polymorph energy (0 for the lowest one) = 0.796 eV/atom
# E_tot = -5.334 eV per atom
# DOS at the Fermi energy = 4.0 states/eV/f.u.
# Formation energy from raw total energies = -229 meV per atom
data_Sc2GeTe
_space_group_name_H-M_alt 'P 1'
_space_group_IT_number 1
_space_group_name_Hall 'P 1'
_cell_length_a 9.308
_cell_length_b 9.308
_cell_length_c 9.308
_cell_angle_alpha 23.43
_cell_angle_beta 23.43
_cell_angle_gamma 23.43
loop_
_atom_site_label
_atom_site_fract_x
_atom_site_fract_y
_atom_site_fract_z
Sc1 0.098 0.098 0.098
Sc2 0.902 0.902 0.902
Ge1 0.000 0.000 0.000
Te1 0.500 0.500 0.500

=====

# Sc2GeTe (PBE, optimized geometry)
# Polymorph energy (0 for the lowest one) = 0.060 eV/atom
# E_tot = -6.071 eV per atom
# DOS at the Fermi energy = 1.0 states/eV/f.u.
# Formation energy from raw total energies = -965 meV per atom
data_Sc2GeTe
_space_group_name_H-M_alt 'P 1'
_space_group_IT_number 1
_space_group_name_Hall 'P 1'
_cell_length_a 7.164
_cell_length_b 7.164
_cell_length_c 7.164
_cell_angle_alpha 32.57
_cell_angle_beta 32.57
_cell_angle_gamma 32.57
loop_
_atom_site_label
_atom_site_fract_x
_atom_site_fract_y
_atom_site_fract_z
Sc1 0.000 0.000 0.000
Sc2 0.190 0.190 0.190
Ge1 0.593 0.593 0.593
Te1 0.763 0.763 0.763

=====

# ScGe3Te6 (PBE, optimized geometry)
# E_tot = -4.185 eV per atom
# DOS at the Fermi energy = 5.9 states/eV/f.u.
# Formation energy from raw total energies = -282 meV per atom
data_ScGe3Te6
_space_group_name_H-M_alt 'P 1'
_space_group_IT_number 1
_space_group_name_Hall 'P 1'
_cell_length_a 12.238
_cell_length_b 4.016
_cell_length_c 12.558
_cell_angle_alpha 90.00
_cell_angle_beta 111.44
_cell_angle_gamma 90.00
loop_
_atom_site_label
_atom_site_fract_x
_atom_site_fract_y
_atom_site_fract_z
Sc1 0.212 0.250 0.055
Sc2 0.788 0.750 0.945
Ge1 0.056 0.750 0.303
Ge2 0.350 0.250 0.457
Ge3 0.385 0.750 0.839
Ge4 0.615 0.250 0.161
Ge5 0.650 0.750 0.543
Ge6 0.944 0.250 0.697
Te1 0.032 0.750 0.911
Te2 0.119 0.250 0.465
Te3 0.214 0.250 0.807
Te4 0.252 0.750 0.243
Te5 0.403 0.750 0.069
Te6 0.437 0.750 0.619
Te7 0.563 0.250 0.381
Te8 0.597 0.250 0.931
Te9 0.748 0.250 0.757
Te10 0.786 0.750 0.193
Te11 0.881 0.750 0.535
Te12 0.968 0.250 0.089

=====

# Sc10Ge3Te3 (PBE, optimized geometry)
# E_tot = -6.252 eV per atom
# DOS at the Fermi energy = 14.9 states/eV/f.u.
# Formation energy from raw total energies = -840 meV per atom
data_Sc10Ge3Te3
_space_group_name_H-M_alt 'P 1'
_space_group_IT_number 1
_space_group_name_Hall 'P 1'
_cell_length_a 8.247
_cell_length_b 8.247
_cell_length_c 5.820
_cell_angle_alpha 90.00
_cell_angle_beta 90.00
_cell_angle_gamma 120.00
loop_
_atom_site_label
_atom_site_fract_x
_atom_site_fract_y
_atom_site_fract_z
Sc1 0.000 0.246 0.000
Sc2 0.000 0.754 0.500
Sc3 0.246 0.000 0.000
Sc4 0.246 0.246 0.500
Sc5 0.333 0.667 0.241
Sc6 0.333 0.667 0.759
Sc7 0.667 0.333 0.241
Sc8 0.667 0.333 0.759
Sc9 0.754 0.000 0.500
Sc10 0.754 0.754 0.000
Ge1 0.000 0.615 0.000
Ge2 0.385 0.385 0.000
Ge3 0.615 0.000 0.000
Te1 0.000 0.391 0.500
Te2 0.391 0.000 0.500
Te3 0.609 0.609 0.500

=====

# Sc2GeTe (PBE, optimized geometry)
# Polymorph energy (0 for the lowest one) = 0.419 eV/atom
# E_tot = -5.712 eV per atom
# DOS at the Fermi energy = 3.3 states/eV/f.u.
# Formation energy from raw total energies = -606 meV per atom
data_Sc2GeTe
_space_group_name_H-M_alt 'P 1'
_space_group_IT_number 1
_space_group_name_Hall 'P 1'
_cell_length_a 4.986
_cell_length_b 4.986
_cell_length_c 4.986
_cell_angle_alpha 60.00
_cell_angle_beta 60.00
_cell_angle_gamma 60.00
loop_
_atom_site_label
_atom_site_fract_x
_atom_site_fract_y
_atom_site_fract_z
Sc1 0.250 0.250 0.250
Sc2 0.750 0.750 0.750
Ge1 0.000 0.000 0.000
Te1 0.500 0.500 0.500